Density functional theory data (GGA-PBE) for a relaxed NpInPt2 crystal.

Density of states at the Fermi level, states/eV/cell: 10.21
SG: P4/mmm (123)
ΔE_f, meV per atom: -426.2

a = 3.2795 Å, b = 3.2795 Å, c = 7.2750 Å
α = 90.00°, β = 90.00°, γ = 90.00°
Site moments in Bohr magnetons follow the coordinates.
Positions (direct):
1 Np 0.5000 0.5000 0.0000  3.45
2 Pt 0.0000 0.0000 0.7366  -0.09
3 Pt 0.0000 0.0000 0.2634  -0.09
4 In 0.5000 0.5000 0.5000  -0.01